(1)
# Rb2PuMnSe4

Rb2PuMnSe4 after structural relaxation (PBE, the Alexandria database).

Summary:
**Crystal system**: orthorhombic
**Mass density**: 5.54 g cm⁻³
**ΔE_f (raw)**: -1002 meV/atom

a = 8.6108 Å, b = 8.8017 Å, c = 12.4378 Å
α = 90.00°, β = 90.00°, γ = 90.00°
Closest atoms and distances in Å follow each position.
Space group Imma (No. 74)
Asymmetric unit:
Rb 0.0000 0.0000 0.0000 (multiplicity 4)  6 Se 3.32-3.37
Rb 0.2500 0.2500 0.2500 (multiplicity 4)  6 Se 3.37-3.44
Pu 0.0000 0.0000 0.5000 (multiplicity 4)  6 Se 2.88-2.92
Mn 0.2500 0.2500 0.7500 (multiplicity 4)  6 Se 2.77-2.88
Se 0.0000 0.0535 0.7317 (multiplicity 8)  2 Mn 2.77, 1 Pu 2.92
Se 0.2134 0.2500 0.5195 (multiplicity 8)  2 Pu 2.88, 1 Mn 2.88

***

(2)
# Rb2Pu2MnSe6

Rb2Pu2MnSe6 after structural relaxation (PBE, the Alexandria database).

Summary:
**Crystal system**: monoclinic
**Mass density**: 5.61 g cm⁻³
**ΔE_f (raw)**: -1156 meV/atom

a = 7.0774 Å, b = 12.1848 Å, c = 8.4989 Å
α = 90.00°, β = 106.36°, γ = 90.00°
Closest atoms and distances in Å follow each position.
Space group C2/m (No. 12)
Asymmetric unit:
Rb 0.0000 0.1689 0.0000 (multiplicity 4)  6 Se 3.46-3.53
Pu 0.0000 0.3330 0.5000 (multiplicity 4)  6 Se 2.84-2.85
Mn 0.0000 0.0000 0.5000 (multiplicity 2)  6 Se 2.67-2.70
Se 0.2228 0.1583 0.6852 (multiplicity 8)  1 Mn 2.70, 2 Pu 2.84-2.85
Se 0.2486 0.5000 0.6824 (multiplicity 4)  1 Mn 2.67, 2 Pu 2.85

***

(3)
# Rb4Pu3MnSe8

Rb4Pu3MnSe8 after structural relaxation (PBE, the Alexandria database).

Summary:
**Crystal system**: monoclinic
**Mass density**: 5.87 g cm⁻³
**ΔE_f (raw)**: -1224 meV/atom

a = 14.7991 Å, b = 8.4902 Å, c = 9.3307 Å
α = 90.00°, β = 121.81°, γ = 90.00°
Closest atoms and distances in Å follow each position.
Space group C2/m (No. 12)
Asymmetric unit:
Rb 0.0000 0.0000 0.0000 (multiplicity 2)  6 Se 3.51-3.53
Rb 0.0000 0.5000 0.0000 (multiplicity 2)  6 Se 3.44-3.46
Rb 0.2500 0.2500 0.0000 (multiplicity 4)  6 Se 3.44-3.46
Pu 0.0000 0.0000 0.5000 (multiplicity 2)  6 Se 2.90-2.93
Pu 0.2500 0.2500 0.5000 (multiplicity 4)  6 Se 2.89-2.92
Mn 0.0000 0.5000 0.5000 (multiplicity 2)  6 Se 2.81-2.87
Se 0.0177 0.2569 0.3111 (multiplicity 8)  1 Mn 2.81, 2 Pu 2.90-2.92
Se 0.2281 0.5000 0.6899 (multiplicity 4)  1 Mn 2.87, 2 Pu 2.89
Se 0.2328 0.0000 0.6964 (multiplicity 4)  3 Pu 2.90-2.93

***

(4)
# Rb3Pu3MnSe8

Rb3Pu3MnSe8 after structural relaxation (PBE, the Alexandria database).

Summary:
**Crystal system**: monoclinic
**Mass density**: 5.68 g cm⁻³
**ΔE_f (raw)**: -1199 meV/atom

a = 14.6162 Å, b = 8.2761 Å, c = 9.4683 Å
α = 90.00°, β = 121.25°, γ = 90.00°
Closest atoms and distances in Å follow each position.
Space group C2/m (No. 12)
Asymmetric unit:
Rb 0.0000 0.0000 0.0000 (multiplicity 2)  6 Se 3.44-3.49
Rb 0.2500 0.2500 0.0000 (multiplicity 4)  6 Se 3.44-3.50
Pu 0.0000 0.5000 0.5000 (multiplicity 2)  6 Se 2.91
Pu 0.2500 0.2500 0.5000 (multiplicity 4)  6 Se 2.83-2.92
Mn 0.0000 0.0000 0.5000 (multiplicity 2)  4 Se 2.60
Se 0.0171 0.2252 0.3242 (multiplicity 8)  1 Mn 2.60, 1 Pu 2.91
Se 0.2327 0.5000 0.6973 (multiplicity 4)  3 Pu 2.88-2.91
Se 0.2359 0.0000 0.6923 (multiplicity 4)  2 Pu 2.83, 1 Mn 2.95

***

- Which value of mass density does entry 3 give?
  5.87 g cm⁻³

***

- ΔE_f (raw) of number 1 (Rb2PuMnSe4)?
  -1002 meV/atom